1.
# Cs2ZrGeSe4 (GGA-PBE, relaxed)
# crystal system = orthorhombic
# D(E_F) = 0.00 states/eV per atom
# ΔE_f (raw) = -816 kJ/mol of formula units
data_Cs2ZrGeSe4
_cell_length_a 7.0198
_cell_length_b 14.7687
_cell_length_c 25.7429
_cell_angle_alpha 90.00
_cell_angle_beta 90.00
_cell_angle_gamma 90.00
_space_group_name_H-M_alt 'F d d d'
_space_group_IT_number 70
loop_
_space_group_symop_operation_xyz
'x,y,z'
'-x,-y,-z'
'-x+1/4,-y+1/4,z'
'x+1/4,y+1/4,-z'
'x,-y+1/4,-z+1/4'
'-x,y+1/4,z+1/4'
'-x+1/4,y,-z+1/4'
'x+1/4,-y,z+1/4'
'x,y+1/2,z+1/2'
'-x,-y+1/2,-z+1/2'
'-x+1/4,-y+3/4,z+1/2'
'x+1/4,y+3/4,-z+1/2'
'x,-y+3/4,-z+3/4'
'-x,y+3/4,z+3/4'
'-x+1/4,y+1/2,-z+3/4'
'x+1/4,-y+1/2,z+3/4'
'x+1/2,y,z+1/2'
'-x+1/2,-y,-z+1/2'
'-x+3/4,-y+1/4,z+1/2'
'x+3/4,y+1/4,-z+1/2'
'x+1/2,-y+1/4,-z+3/4'
'-x+1/2,y+1/4,z+3/4'
'-x+3/4,y,-z+3/4'
'x+3/4,-y,z+3/4'
'x+1/2,y+1/2,z'
'-x+1/2,-y+1/2,-z'
'-x+3/4,-y+3/4,z'
'x+3/4,y+3/4,-z'
'x+1/2,-y+3/4,-z+1/4'
'-x+1/2,y+3/4,z+1/4'
'-x+3/4,y+1/2,-z+1/4'
'x+3/4,-y+1/2,z+1/4'
loop_
_atom_site_label
_atom_site_type_symbol
_atom_site_fract_x
_atom_site_fract_y
_atom_site_fract_z
Cs1 Cs 0.1250 0.1250 0.3044
Zr1 Zr 0.1250 0.1250 0.1250
Ge1 Ge 0.1250 0.1250 0.6250
Se1 Se 0.1066 0.2804 0.4279



2.
# Li7MgAg5 (GGA-PBE, relaxed)
# E_tot = -62.03 eV per cell
# crystal system = orthorhombic
# D(E_F) = 0.31 states/eV per atom
data_Li7MgAg5
_cell_length_a 5.5734
_cell_length_b 9.3959
_cell_length_c 9.1108
_cell_angle_alpha 90.00
_cell_angle_beta 90.00
_cell_angle_gamma 90.00
_space_group_name_H-M_alt 'I m m 2'
_space_group_IT_number 44
_space_group_name_Hall 'I 2 -2'
loop_
_atom_site_label
_atom_site_type_symbol
_atom_site_fract_x
_atom_site_fract_y
_atom_site_fract_z
Li1 Li 0.0000 0.0000 0.0000
Li2 Li 0.0000 0.0000 0.3310
Li3 Li 0.0000 0.3058 0.1314
Li4 Li 0.0000 0.3398 0.6431
Li5 Li 0.0000 0.5000 0.3568
Mg1 Mg 0.0000 0.0000 0.6681
Ag1 Ag 0.0000 0.5000 0.9181
Ag2 Ag 0.2493 0.2626 0.3839